Density functional theory data (PBE) for a geometry-optimized TiPt2Rh structure. Values from VASP.

Computed properties:
The energy relative to the elements comes out at -472 meV per atom. The calculated volume comes out at 15.47 Å³ per atom.

Geometry as Quantum ESPRESSO input:
```
&SYSTEM
  ibrav = 0, nat = 4, ntyp = 3
/
ATOMIC_SPECIES
Pt 195.08 Pt.upf
Ti 47.87 Ti.upf
Rh 102.91 Rh.upf
ATOMIC_POSITIONS crystal
Pt 0.7500 0.7500 0.7500
Pt 0.2500 0.2500 0.2500
Ti 0.0000 0.0000 0.0000
Rh 0.5000 0.5000 0.5000
CELL_PARAMETERS angstrom
-3.2830 -1.1488 2.7585
-0.1908 1.7518 4.0746
-3.1784 2.9302 1.0097
```

---

Density functional theory data (PBE) for a geometry-optimized TiPt3Rh2 structure. Values from VASP.

Computed properties:
The energy relative to the elements comes out at -325 meV per atom. The calculated volume comes out at 15.54 Å³ per atom.

Geometry as Quantum ESPRESSO input:
```
&SYSTEM
  ibrav = 0, nat = 12, ntyp = 3
/
ATOMIC_SPECIES
Rh 102.91 Rh.upf
Pt 195.08 Pt.upf
Ti 47.87 Ti.upf
ATOMIC_POSITIONS crystal
Rh 0.0000 0.7483 0.0000
Rh 0.5000 0.2517 0.0000
Rh 0.0000 0.2517 0.0000
Rh 0.5000 0.7483 0.0000
Pt 0.7500 0.8494 0.6988
Pt 0.2500 0.0756 0.6453
Pt 0.2500 0.5697 0.6453
Pt 0.7500 0.9244 0.3547
Pt 0.2500 0.1506 0.3012
Pt 0.7500 0.4303 0.3547
Ti 0.7500 0.3512 0.7024
Ti 0.2500 0.6488 0.2976
CELL_PARAMETERS angstrom
5.0302 0.0000 0.0000
0.0000 4.8799 -2.4897
0.0000 0.6352 7.2722
```

---

Density functional theory data (PBE) for a geometry-optimized Ti2PtRh structure. Values from VASP.

Computed properties:
The energy relative to the elements comes out at -414 meV per atom. The calculated volume comes out at 16.58 Å³ per atom.

Geometry as Quantum ESPRESSO input:
```
&SYSTEM
  ibrav = 0, nat = 8, ntyp = 3
/
ATOMIC_SPECIES
Ti 47.87 Ti.upf
Pt 195.08 Pt.upf
Rh 102.91 Rh.upf
ATOMIC_POSITIONS crystal
Ti 0.3750 0.3840 0.7500
Ti 0.8750 0.8660 0.7500
Ti 0.6160 0.1250 0.2500
Ti 0.1340 0.6250 0.2500
Pt 0.0000 0.0000 0.0000
Pt 0.7500 0.2500 0.5000
Rh 0.2500 0.7500 0.5000
Rh 0.5000 0.5000 0.0000
CELL_PARAMETERS angstrom
6.9148 0.0000 0.0000
0.0000 6.9148 0.0000
3.4574 3.4574 2.7741
```